The following is a PBE calculation of a geometry-optimized Pr2MgS4 structure, from Alexandria via LeMat-Bulk.

Structure (POSCAR):
```
Pr2MgS4
1.0
7.052 0.377 -0.447
0.320 8.141 1.068
-2.122 -0.799 11.922
Pr S Mg
8 16 4
Cartesian
3.353 0.815 10.265 Pr
4.411 7.764 5.680 Pr
0.658 4.521 10.096 Pr
0.660 4.378 5.709 Pr
1.897 6.903 2.278 Pr
4.590 3.340 6.835 Pr
0.839 -0.046 6.863 Pr
4.592 3.197 2.448 Pr
2.603 5.160 7.730 S
1.968 6.995 10.436 S
6.066 1.813 4.569 S
6.710 1.451 0.909 S
1.276 2.069 11.508 S
4.743 3.417 10.094 S
3.678 0.657 7.358 S
3.282 0.723 2.108 S
0.507 4.301 2.449 S
0.286 2.534 7.953 S
3.974 5.649 1.036 S
-1.460 6.267 11.634 S
4.964 5.185 4.590 S
-0.816 5.905 7.974 S
2.647 2.558 4.813 S
1.572 7.061 5.185 S
4.064 4.895 12.034 Mg
1.185 2.823 0.509 Mg
1.034 1.349 3.429 Mg
4.216 6.369 9.114 Mg
```

Output
Space group = P-1, No. 2
ΔE to the lowest computed polymorph = 0.49 eV per formula unit
N(E_F) = 0.000 states/eV per atom